No. 1
{"formula": "Tm12Ni3H5", "functional": "PBE-GGA", "state": "relaxed", "lattice_angstrom": [[12.742, 0.000, 0.000], [-4.247, 12.013, 0.000], [-4.247, -6.007, 10.404]], "species": ["H", "H", "H", "H", "H", "H", "H", "H", "H", "H", "H", "H", "H", "H", "H", "H", "H", "H", "H", "H", "Ni", "Ni", "Ni", "Ni", "Ni", "Ni", "Ni", "Ni", "Ni", "Ni", "Ni", "Ni", "Tm", "Tm", "Tm", "Tm", "Tm", "Tm", "Tm", "Tm", "Tm", "Tm", "Tm", "Tm", "Tm", "Tm", "Tm", "Tm", "Tm", "Tm", "Tm", "Tm", "Tm", "Tm", "Tm", "Tm", "Tm", "Tm", "Tm", "Tm", "Tm", "Tm", "Tm", "Tm", "Tm", "Tm", "Tm", "Tm", "Tm", "Tm", "Tm", "Tm", "Tm", "Tm", "Tm", "Tm", "Tm", "Tm", "Tm", "Tm"], "frac_coords": [[0.500, 0.500, 0.500], [0.500, 0.000, 0.500], [0.375, 0.250, 0.125], [0.000, 0.500, 0.000], [0.875, 0.625, 0.750], [0.000, 0.000, 0.000], [0.000, 0.500, 0.500], [0.000, 0.000, 0.500], [0.625, 0.750, 0.875], [0.125, 0.375, 0.250], [0.750, 0.125, 0.875], [0.375, 0.125, 0.750], [0.750, 0.625, 0.375], [0.500, 0.500, 0.000], [0.250, 0.875, 0.125], [0.250, 0.375, 0.625], [0.875, 0.250, 0.625], [0.625, 0.875, 0.250], [0.500, 0.000, 0.000], [0.125, 0.750, 0.375], [0.875, 0.750, 0.125], [0.125, 0.875, 0.750], [0.375, 0.625, 0.250], [0.875, 0.125, 0.250], [0.625, 0.250, 0.375], [0.375, 0.750, 0.625], [0.125, 0.250, 0.875], [0.250, 0.125, 0.375], [0.750, 0.875, 0.625], [0.750, 0.375, 0.125], [0.625, 0.375, 0.750], [0.250, 0.625, 0.875], [0.784, 0.474, 0.380], [0.594, 0.620, 0.404], [0.310, 0.526, 0.406], [0.284, 0.880, 0.974], [0.216, 0.526, 0.620], [0.380, 0.974, 0.784], [0.474, 0.784, 0.880], [0.880, 0.596, 0.906], [0.190, 0.096, 0.716], [0.974, 0.380, 0.284], [0.026, 0.406, 0.810], [0.810, 0.906, 0.026], [0.620, 0.594, 0.904], [0.594, 0.974, 0.690], [0.310, 0.784, 0.404], [0.526, 0.310, 0.906], [0.284, 0.404, 0.810], [0.690, 0.474, 0.594], [0.596, 0.880, 0.406], [0.404, 0.120, 0.594], [0.474, 0.690, 0.094], [0.810, 0.904, 0.284], [0.906, 0.096, 0.880], [0.096, 0.906, 0.380], [0.406, 0.380, 0.596], [0.906, 0.810, 0.526], [0.120, 0.404, 0.094], [0.974, 0.594, 0.190], [0.406, 0.026, 0.310], [0.526, 0.216, 0.120], [0.094, 0.190, 0.474], [0.716, 0.596, 0.190], [0.094, 0.904, 0.120], [0.120, 0.716, 0.526], [0.096, 0.190, 0.216], [0.216, 0.690, 0.096], [0.904, 0.810, 0.784], [0.380, 0.406, 0.096], [0.620, 0.026, 0.216], [0.026, 0.620, 0.716], [0.784, 0.310, 0.904], [0.904, 0.094, 0.620], [0.404, 0.284, 0.310], [0.880, 0.284, 0.474], [0.716, 0.120, 0.026], [0.690, 0.216, 0.596], [0.190, 0.094, 0.974], [0.596, 0.716, 0.690]]}

No. 2
{"formula": "TbFeCoB2", "functional": "PBE-GGA", "state": "relaxed", "lattice_angstrom": [[3.620, 0.000, 0.000], [0.000, 3.620, 0.000], [-1.810, -1.810, 4.653]], "species": ["Co", "Tb", "B", "B", "Fe"], "frac_coords": [[0.750, 0.250, 0.500], [0.000, 0.000, 0.000], [0.338, 0.338, 0.676], [0.662, 0.662, 0.324], [0.250, 0.750, 0.500]], "formation_enthalpy_0k_ev_per_atom": -0.510}

No. 3
{"formula": "Cs2NaAgF4", "functional": "PBE-GGA", "state": "relaxed", "lattice_angstrom": [[3.837, 0.000, 0.000], [0.000, 6.809, 0.069], [0.000, -2.427, 6.257]], "species": ["F", "F", "F", "F", "Cs", "Cs", "Ag", "Na"], "frac_coords": [[0.000, 0.717, 0.200], [0.500, 0.233, 0.190], [0.000, 0.283, 0.800], [0.500, 0.767, 0.810], [0.500, 0.000, 0.500], [0.000, 0.500, 0.500], [0.000, 0.000, 0.000], [0.500, 0.500, 0.000]], "formation_energy_uncorrected_kj_per_mol_atoms": -208.8}

no.,raw total energy (eV for the cell shown),total magnetic moment (Bohr magnetons per cell),Fermi-level density of states (states/eV per cell)
1,-374.02,0.0,71.71
2,-36.10,0.0,1.82
3,-30.67,0.0,0.00